[1]
NdCo2H7 | the Alexandria database | PBE | optimized geometry; DFT total energy = -4.47 eV/atom; total magnetization = 0.000 μB/atom
1.0
2.4524 -4.2584 0.0000
2.4524 4.2584 0.0000
0.0000 0.0000 3.4913
Nd Co H
1 2 7
Direct
0.0000 0.0000 0.0000
0.3133 0.6867 0.5000
0.6867 0.3133 0.5000
0.0299 0.3326 0.5000
0.3170 0.6830 0.0000
0.3326 0.0299 0.5000
0.5000 0.5000 0.5000
0.6674 0.9701 0.5000
0.6830 0.3170 0.0000
0.9701 0.6674 0.5000

***

[2]
NdCo3H6 | the Alexandria database | PBE | optimized geometry; DFT total energy = -4.82 eV/atom; total magnetization = 0.179 μB/atom
1.0
2.1992 1.2697 4.9650
-2.1992 1.2697 4.9650
0.0000 -2.5394 4.9650
Nd Co H
1 3 6
Direct
0.0000 0.0000 0.0000
0.2034 0.2034 0.2034
0.5336 0.5336 0.5336
0.8143 0.8143 0.8143
0.1684 0.4338 0.7921
0.4335 0.9379 0.4457
0.4338 0.7921 0.1684
0.4457 0.4335 0.9379
0.7921 0.1684 0.4338
0.9379 0.4457 0.4335

***

Please write out number 1 again, unchanged.
NdCo2H7 | the Alexandria database | PBE | optimized geometry; DFT total energy = -4.47 eV/atom; total magnetization = 0.000 μB/atom
1.0
2.4524 -4.2584 0.0000
2.4524 4.2584 0.0000
0.0000 0.0000 3.4913
Nd Co H
1 2 7
Direct
0.0000 0.0000 0.0000
0.3133 0.6867 0.5000
0.6867 0.3133 0.5000
0.0299 0.3326 0.5000
0.3170 0.6830 0.0000
0.3326 0.0299 0.5000
0.5000 0.5000 0.5000
0.6674 0.9701 0.5000
0.6830 0.3170 0.0000
0.9701 0.6674 0.5000

***

- Number 1 is which compound?
  NdCo2H7

***

- Which of these has the highest DFT total energy?
  NdCo2H7